La2MnSnSb | SCAN | PBEsol geometry

Output
ΔE_f (raw)	-0.213	eV/atom
raw total energy	-178.712	eV per cell
spin magnetization	4.2	μB per formula unit

```
La2MnSnSb
1.0
5.9171 0.0000 0.0000
0.0000 5.9171 0.0000
0.0000 0.0000 4.8427
La Mn Sn Sb
2 1 1 1
Direct
0.0000 0.5000 0.0000 La
0.5000 0.0000 0.0000 La
0.0000 0.0000 0.5000 Mn
0.0000 0.0000 0.0000 Sn
0.5000 0.5000 0.5000 Sb
```